Record 1
# SrLiTbTe3, optimized geometry, DFT PBE
data_SrLiTbTe3
_chemical_formula_sum 'Sr2 Li2 Tb2 Te6'
_symmetry_space_group_name_H-M 'P 1'
_symmetry_Int_Tables_number 1
_cell_length_a 7.635
_cell_length_b 7.635
_cell_length_c 11.457
_cell_angle_alpha 90.00
_cell_angle_beta 90.00
_cell_angle_gamma 146.16
loop_
_symmetry_equiv_pos_as_xyz
'x,y,z'
loop_
_atom_site_label
_atom_site_type_symbol
_atom_site_fract_x
_atom_site_fract_y
_atom_site_fract_z
Li1 Li 0.024 0.976 0.750
Li2 Li 0.976 0.024 0.250
Te1 Te 0.860 0.140 0.437
Tb1 Tb 0.500 0.500 0.500
Sr1 Sr 0.254 0.746 0.250
Te2 Te 0.140 0.860 0.937
Te3 Te 0.860 0.140 0.063
Te4 Te 0.140 0.860 0.563
Te5 Te 0.584 0.416 0.250
Sr2 Sr 0.746 0.254 0.750
Tb2 Tb 0.500 0.500 0.000
Te6 Te 0.416 0.584 0.750
# Space-group type   Cmcm
# Energy above the lowest structure with this stoichiometry   0 meV/atom

***

Record 2
# Tb2Y, optimized geometry, DFT PBE
data_Tb2Y
_chemical_formula_sum 'Tb4 Y2'
_symmetry_space_group_name_H-M 'P 1'
_symmetry_Int_Tables_number 1
_cell_length_a 9.929
_cell_length_b 9.929
_cell_length_c 9.929
_cell_angle_alpha 60.00
_cell_angle_beta 60.00
_cell_angle_gamma 60.00
loop_
_symmetry_equiv_pos_as_xyz
'x,y,z'
loop_
_atom_site_label
_atom_site_type_symbol
_atom_site_fract_x
_atom_site_fract_y
_atom_site_fract_z
Tb1 Tb 0.375 0.875 0.375
Tb2 Tb 0.375 0.375 0.375
Y1 Y 0.500 0.500 0.500
Tb3 Tb 0.875 0.375 0.375
Tb4 Tb 0.375 0.375 0.875
Y2 Y 0.250 0.250 0.250
# Space-group type   Fd-3m
# Energy of formation   2492 meV per atom
# Energy above the lowest structure with this stoichiometry   2260 meV/atom

***

Record 3
# GdZr3, optimized geometry, DFT PBE
data_GdZr3
_chemical_formula_sum 'Gd2 Zr6'
_symmetry_space_group_name_H-M 'P 1'
_symmetry_Int_Tables_number 1
_cell_length_a 5.760
_cell_length_b 6.627
_cell_length_c 5.263
_cell_angle_alpha 90.00
_cell_angle_beta 90.00
_cell_angle_gamma 90.00
loop_
_symmetry_equiv_pos_as_xyz
'x,y,z'
loop_
_atom_site_label
_atom_site_type_symbol
_atom_site_fract_x
_atom_site_fract_y
_atom_site_fract_z
Zr1 Zr 0.826 0.745 0.500
Zr2 Zr 0.977 0.500 0.000
Zr3 Zr 0.826 0.255 0.500
Zr4 Zr 0.507 0.245 0.000
Zr5 Zr 0.356 0.000 0.500
Gd1 Gd 0.325 0.500 0.500
Gd2 Gd 0.008 0.000 0.000
Zr6 Zr 0.507 0.755 0.000
# Space-group type   Pmmn
# Energy of formation   68 meV per atom

***

Record 4
# TlIrPb2, optimized geometry, DFT PBE
data_TlIrPb2
_chemical_formula_sum 'Tl1 Ir1 Pb2'
_symmetry_space_group_name_H-M 'P 1'
_symmetry_Int_Tables_number 1
_cell_length_a 5.139
_cell_length_b 5.139
_cell_length_c 5.139
_cell_angle_alpha 60.00
_cell_angle_beta 60.00
_cell_angle_gamma 60.00
loop_
_symmetry_equiv_pos_as_xyz
'x,y,z'
loop_
_atom_site_label
_atom_site_type_symbol
_atom_site_fract_x
_atom_site_fract_y
_atom_site_fract_z
Pb1 Pb 0.000 0.000 0.000
Ir1 Ir 0.500 0.500 0.500
Pb2 Pb 0.250 0.250 0.250
Tl1 Tl 0.750 0.750 0.750
# Space-group type   F-43m
# DFT total energy   -16.563 eV per cell

***

Record 5
# NbNiPd2, optimized geometry, DFT PBE
data_NbNiPd2
_chemical_formula_sum 'Nb1 Ni1 Pd2'
_symmetry_space_group_name_H-M 'P 1'
_symmetry_Int_Tables_number 1
_cell_length_a 4.388
_cell_length_b 4.388
_cell_length_c 4.388
_cell_angle_alpha 60.00
_cell_angle_beta 60.00
_cell_angle_gamma 60.00
loop_
_symmetry_equiv_pos_as_xyz
'x,y,z'
loop_
_atom_site_label
_atom_site_type_symbol
_atom_site_fract_x
_atom_site_fract_y
_atom_site_fract_z
Pd1 Pd 0.750 0.750 0.750
Pd2 Pd 0.500 0.500 0.500
Nb1 Nb 0.250 0.250 0.250
Ni1 Ni 0.000 0.000 0.000
# Space-group type   F-43m
# Energy of formation   -163 meV per atom

***

Record 6
# CsMgZn3As2P, optimized geometry, DFT PBE
data_CsMgZn3As2P
_chemical_formula_sum 'Cs1 Mg1 Zn3 As2 P1'
_symmetry_space_group_name_H-M 'P 1'
_symmetry_Int_Tables_number 1
_cell_length_a 4.189
_cell_length_b 4.281
_cell_length_c 10.647
_cell_angle_alpha 90.00
_cell_angle_beta 90.00
_cell_angle_gamma 90.00
loop_
_symmetry_equiv_pos_as_xyz
'x,y,z'
loop_
_atom_site_label
_atom_site_type_symbol
_atom_site_fract_x
_atom_site_fract_y
_atom_site_fract_z
Cs1 Cs 0.000 0.000 0.501
As1 As 0.500 0.500 0.722
As2 As 0.500 0.500 0.282
Zn1 Zn 0.000 0.500 0.150
Zn2 Zn 0.000 0.500 0.851
Mg1 Mg 0.500 0.000 0.146
P1 P 0.000 0.000 0.997
Zn3 Zn 0.500 0.000 0.851
# Space-group type   Pmm2
# DFT total energy   -24.167 eV per cell

***

Repeat the third record exactly.
# GdZr3, optimized geometry, DFT PBE
data_GdZr3
_chemical_formula_sum 'Gd2 Zr6'
_symmetry_space_group_name_H-M 'P 1'
_symmetry_Int_Tables_number 1
_cell_length_a 5.760
_cell_length_b 6.627
_cell_length_c 5.263
_cell_angle_alpha 90.00
_cell_angle_beta 90.00
_cell_angle_gamma 90.00
loop_
_symmetry_equiv_pos_as_xyz
'x,y,z'
loop_
_atom_site_label
_atom_site_type_symbol
_atom_site_fract_x
_atom_site_fract_y
_atom_site_fract_z
Zr1 Zr 0.826 0.745 0.500
Zr2 Zr 0.977 0.500 0.000
Zr3 Zr 0.826 0.255 0.500
Zr4 Zr 0.507 0.245 0.000
Zr5 Zr 0.356 0.000 0.500
Gd1 Gd 0.325 0.500 0.500
Gd2 Gd 0.008 0.000 0.000
Zr6 Zr 0.507 0.755 0.000
# Space-group type   Pmmn
# Energy of formation   68 meV per atom